# YAuSeN2 | Alexandria | PBE-GGA | optimized geometry
# - polymorph energy (0 for the lowest one) (meV/atom) = 0
# - formation energy (no corrections) (eV/atom) = 0.789
data_YAuSeN2
_chemical_formula_sum 'Y1 Au1 Se1 N2'
_cell_length_a 4.1686
_cell_length_b 4.1686
_cell_length_c 5.0258
_cell_angle_alpha 90.00
_cell_angle_beta 90.00
_cell_angle_gamma 90.00
_space_group_name_H-M_alt 'P 4/m m m'
_space_group_IT_number 123
_space_group_name_Hall '-P 4 2'
loop_
_atom_site_label
_atom_site_type_symbol
_atom_site_fract_x
_atom_site_fract_y
_atom_site_fract_z
_atom_site_occupancy
Y1 Y 0.0000 0.0000 0.0000 1
Au1 Au 0.5000 0.5000 0.5000 1
Se1 Se 0.5000 0.5000 0.0000 1
N1 N 0.0000 0.5000 0.5000 1